(1)
# Fe2B2Os GGA-PBE optimized geometry
data_Fe2B2Os
_symmetry_space_group_name_H-M 'P 4/m b m'
_symmetry_Int_Tables_number 127
_symmetry_space_group_name_Hall '-P 4 2ab'
_cell_length_a 5.765
_cell_length_b 5.765
_cell_length_c 2.844
_cell_angle_alpha 90.00
_cell_angle_beta 90.00
_cell_angle_gamma 90.00
loop_
_atom_site_label
_atom_site_fract_x
_atom_site_fract_y
_atom_site_fract_z
_atom_site_occupancy
Fe1 0.162 0.338 0.000 1
B1 0.119 0.619 0.500 1
Os1 0.000 0.000 0.500 1
# **Mass density**: 11.4 Mg/m³
# **E_tot**: -8.4211 eV per atom
# **Energy above the lowest structure with this stoichiometry**: 0.00 kJ/mol of atoms


(2)
# LiGeH2 GGA-PBE optimized geometry
data_LiGeH2
_symmetry_space_group_name_H-M 'I -4 2 d'
_symmetry_Int_Tables_number 122
_symmetry_space_group_name_Hall 'I -4 2bw'
_cell_length_a 4.011
_cell_length_b 4.011
_cell_length_c 11.097
_cell_angle_alpha 90.00
_cell_angle_beta 90.00
_cell_angle_gamma 90.00
loop_
_atom_site_label
_atom_site_fract_x
_atom_site_fract_y
_atom_site_fract_z
_atom_site_occupancy
Li1 0.000 0.000 0.000 1
Ge1 0.000 0.000 0.500 1
H1 0.193 0.250 0.625 1
# **Mass density**: 3.0 Mg/m³
# **E_tot**: -3.0905 eV per atom
# **Energy above the lowest structure with this stoichiometry**: 15.96 kJ/mol of atoms


(3)
# HfTi2Tl GGA-PBE optimized geometry
data_HfTi2Tl
_symmetry_space_group_name_H-M 'P 4/m m m'
_symmetry_Int_Tables_number 123
_symmetry_space_group_name_Hall '-P 4 2'
_cell_length_a 4.305
_cell_length_b 4.305
_cell_length_c 4.205
_cell_angle_alpha 90.00
_cell_angle_beta 90.00
_cell_angle_gamma 90.00
loop_
_atom_site_label
_atom_site_fract_x
_atom_site_fract_y
_atom_site_fract_z
_atom_site_occupancy
Hf1 0.000 0.000 0.000 1
Ti1 0.000 0.500 0.500 1
Tl1 0.500 0.500 0.000 1
# **Mass density**: 10.2 Mg/m³
# **E_tot**: -6.9903 eV per atom
# **Energy above the lowest structure with this stoichiometry**: 0.00 kJ/mol of atoms


Q: Look up the energy above the lowest structure with this stoichiometry of the first one.
A: 0.00 kJ/mol of atoms